This record from Alexandria via LeMat-Bulk describes a relaxed structure of AcMnH2F8. The functional is PBE+U.

Geometry as POSCAR:
```
AcMnH2F8
1.0
-2.257 -3.515 -1.565
1.837 -3.947 1.043
-4.218 -0.416 6.947
Mn F H Ac
1 8 2 1
Cartesian
0.000 0.000 0.000 Mn
-2.363 -5.234 3.083 F
-4.613 -3.983 4.559 F
-2.274 -2.643 3.342 F
-2.006 -3.694 0.660 F
-0.024 -3.895 1.866 F
-2.631 -4.184 5.765 F
-0.110 -1.790 -0.109 F
-4.527 -6.088 6.534 F
-1.074 -3.787 1.179 H
-3.563 -4.091 5.246 H
-2.109 -0.208 3.473 Ac
```

The calculation puts the total moment at 4.0 μB per cell. The total energy comes out at -5.434 eV per atom. The density comes out at 4.9 Mg/m³.